1.
Here is Ca3Tb2ZrAs6 after structural relaxation from Alexandria. Energies are from PBE-GGA.

Structure (POSCAR):
```
Ca3Tb2ZrAs6
1.0
-6.530 -2.818 -0.001
3.346 1.220 -6.157
3.791 -5.792 2.283
As Tb Ca Zr
6 2 3 1
direct
0.398 0.077 0.233
0.602 0.923 0.767
0.077 0.398 0.233
0.923 0.602 0.767
0.759 0.759 0.234
0.241 0.241 0.766
0.334 0.666 0.000
0.666 0.334 0.000
0.500 0.500 0.500
0.830 0.170 0.500
0.170 0.830 0.500
0.000 0.000 0.000
```

Summary:
The calculation puts the calculated volume at 25.2 A^3/atom. As for the total energy: -5.5088 eV/atom. The energy of formation is -14.39 eV/f.u.


2.
Here is Ca3TbZr2As6 after structural relaxation from Alexandria. Energies are from PBE-GGA.

Structure (POSCAR):
```
Ca3TbZr2As6
1.0
-3.071 0.927 6.215
4.797 -5.023 -0.821
4.359 5.797 -0.029
Ca As Tb Zr
3 6 1 2
direct
0.163 0.837 0.500
0.837 0.163 0.500
0.500 0.500 0.500
0.422 0.077 0.230
0.923 0.578 0.770
0.077 0.422 0.230
0.731 0.731 0.229
0.269 0.269 0.771
0.578 0.923 0.770
0.000 0.000 0.000
0.333 0.667 0.000
0.667 0.333 0.000
```

Summary:
The calculation puts the calculated volume at 24.2 A^3/atom. As for the total energy: -5.8329 eV/atom. The energy of formation is -14.37 eV/f.u.


3.
Here is CaTcAs after structural relaxation from Alexandria. Energies are from PBE-GGA.

Structure (POSCAR):
```
CaTcAs
1.0
-0.313 -1.388 3.945
2.508 -1.971 -2.724
3.278 2.564 1.162
Ca As Tc
1 1 1
direct
0.333 0.667 0.333
0.000 0.000 0.833
0.667 0.333 0.833
```

Summary:
The calculation puts the calculated volume at 21.9 A^3/atom. As for the total energy: -5.9235 eV/atom. The energy of formation is -0.75 eV/f.u.


4.
Here is CaTcAs4 after structural relaxation from Alexandria. Energies are from PBE-GGA.

Structure (POSCAR):
```
CaTcAs4
1.0
0.000 3.947 3.947
3.947 0.000 3.947
3.947 3.947 0.000
As Tc Ca
4 1 1
direct
0.374 0.374 0.374
0.374 0.878 0.374
0.878 0.374 0.374
0.374 0.374 0.878
0.000 0.000 0.000
0.750 0.750 0.750
```

Summary:
The calculation puts the calculated volume at 20.5 A^3/atom. As for the total energy: -4.8044 eV/atom. The energy of formation is 2.14 eV/f.u.


What is the energy of formation in the second record?
-14.37 eV/f.u.